[1]
Here is Hf5Ga2H2 after structural relaxation from Alexandria. Energies are from PBE.

Geometry as extended XYZ:
```
18
Lattice="-7.3971 3.5667 2.8789 7.3971 -3.5667 2.8789 7.3971 3.5667 -2.8789" Properties=species:S:1:pos:R:3 pbc="T T T"
Hf 11.0956 -1.1356 1.3673
Hf 0.6067 1.7498 0.0000
Hf 6.7904 1.7498 0.0000
Hf 3.6985 1.1356 1.3673
Hf -2.2108 3.0952 1.4694
Hf 2.2108 -0.4715 4.3482
Hf 0.6067 1.8169 2.8789
Hf 6.7904 1.8169 2.8789
Hf 2.2108 4.0382 1.4694
Hf 5.1863 4.0382 1.4694
Ga 1.4262 -0.4635 1.4821
Ga 5.9709 -0.4635 1.4821
Ga 5.9709 4.0302 -1.3968
Ga 8.8233 0.4635 1.4821
H 3.6985 3.0112 0.5160
H 3.6985 0.5555 3.3949
H 0.0000 3.5667 1.4934
H 0.0000 0.0000 4.3723
```

## Properties
Its space-group type is Ima2, No. 46. The calculation puts the electronic total energy at -7.17 eV/atom.

[2]
Here is HfGa2H after structural relaxation from Alexandria. Energies are from PBE.

Geometry as extended XYZ:
```
16
Lattice="6.4245 0.0000 0.0000 0.0000 6.4245 0.0000 0.0000 0.0000 6.4245" Properties=species:S:1:pos:R:3 pbc="T T T"
Hf 0.0000 0.0000 0.0000
Hf 0.0000 3.2122 3.2122
Hf 3.2122 0.0000 3.2122
Hf 3.2122 3.2122 0.0000
Ga 1.6061 1.6061 1.6061
Ga 1.6061 1.6061 4.8184
Ga 1.6061 4.8184 1.6061
Ga 1.6061 4.8184 4.8184
Ga 4.8184 1.6061 1.6061
Ga 4.8184 1.6061 4.8184
Ga 4.8184 4.8184 1.6061
Ga 4.8184 4.8184 4.8184
H 0.0000 0.0000 3.2122
H 0.0000 3.2122 0.0000
H 3.2122 0.0000 0.0000
H 3.2122 3.2122 3.2122
```

## Properties
Its space-group type is Fm-3m, No. 225. The value obtained for the energy above the most stable polymorph in this dataset is 335 meV per atom.

[3]
Here is Hf2GaHIr after structural relaxation from Alexandria. Energies are from PBE.

Geometry as extended XYZ:
```
5
Lattice="4.3907 0.0000 0.0000 0.0000 4.3907 0.0000 0.0000 0.0000 3.8364" Properties=species:S:1:pos:R:3 pbc="T T T"
Hf 0.0000 2.1954 0.0000
Hf 2.1954 0.0000 0.0000
Ga 0.0000 0.0000 1.9182
H 2.1954 2.1954 0.0000
Ir 2.1954 2.1954 1.9182
```

## Properties
Its space-group type is P4/mmm, No. 123. The calculation puts the electronic total energy at -7.52 eV/atom.

[4]
Here is Hf2MnGaH after structural relaxation from Alexandria. Energies are from PBE.

Geometry as extended XYZ:
```
5
Lattice="4.4722 0.0000 0.0000 0.0000 4.4722 0.0000 0.0000 0.0000 3.5334" Properties=species:S:1:pos:R:3 pbc="T T T"
Hf 0.0000 2.2361 0.0000
Hf 2.2361 0.0000 0.0000
Mn 0.0000 0.0000 1.7667
Ga 2.2361 2.2361 1.7667
H 0.0000 0.0000 0.0000
```

## Properties
Its space-group type is P4/mmm, No. 123. The calculation puts the electronic total energy at -7.40 eV/atom.

[5]
Here is HfNbGa2H after structural relaxation from Alexandria. Energies are from PBE.

Geometry as extended XYZ:
```
5
Lattice="4.2807 0.0000 0.0000 0.0000 4.2807 0.0000 0.0000 0.0000 3.9833" Properties=species:S:1:pos:R:3 pbc="T T T"
Hf 0.0000 0.0000 0.0000
Nb 2.1403 2.1403 0.0000
Ga 0.0000 2.1403 1.9917
Ga 2.1403 0.0000 1.9917
H 0.0000 0.0000 1.9917
```

## Properties
Its space-group type is P4/mmm, No. 123. The calculation puts the electronic total energy at -6.05 eV/atom.

[6]
Here is HfGaNi2H after structural relaxation from Alexandria. Energies are from PBE.

Geometry as extended XYZ:
```
5
Lattice="3.8792 0.0000 0.0000 0.0000 3.8792 0.0000 0.0000 0.0000 4.0077" Properties=species:S:1:pos:R:3 pbc="T T T"
Hf 0.0000 0.0000 0.0000
Ga 1.9396 1.9396 0.0000
Ni 0.0000 1.9396 2.0039
Ni 1.9396 0.0000 2.0039
H 0.0000 0.0000 2.0039
```

## Properties
Its space-group type is P4/mmm, No. 123. The value obtained for the energy above the most stable polymorph in this dataset is 0 meV per atom.

[7]
Here is HfGaNi2H after structural relaxation from Alexandria. Energies are from PBE.

Geometry as extended XYZ:
```
5
Lattice="4.2780 0.0000 0.0000 0.0000 4.2780 0.0000 0.0000 0.0000 5.1126" Properties=species:S:1:pos:R:3 pbc="T T T"
Hf 0.0000 0.0000 0.0000
Ga 0.0000 0.0000 2.5563
Ni 0.0000 2.1390 2.5563
Ni 2.1390 0.0000 2.5563
H 2.1390 2.1390 0.0000
```

## Properties
Its space-group type is P4/mmm, No. 123. The value obtained for the energy above the most stable polymorph in this dataset is 1412 meV per atom.

[8]
Here is Hf2GaHPd after structural relaxation from Alexandria. Energies are from PBE.

Geometry as extended XYZ:
```
5
Lattice="4.3321 0.0000 0.0000 0.0000 4.3321 0.0000 0.0000 0.0000 4.0017" Properties=species:S:1:pos:R:3 pbc="T T T"
Hf 0.0000 2.1660 0.0000
Hf 2.1660 0.0000 0.0000
Ga 0.0000 0.0000 2.0009
H 2.1660 2.1660 0.0000
Pd 2.1660 2.1660 2.0009
```

## Properties
Its space-group type is P4/mmm, No. 123. The calculation puts the electronic total energy at -6.74 eV/atom.